(1)
CsRe3O: optimized geometry, PBE.

```
5
Lattice="-3.5352 0.8691 2.4445 -1.3342 -4.1525 -0.4532 2.2251 -1.1091 3.6121" Properties=species:S:1:pos:R:3 pbc="T T T"
Re 1.1125 -0.5545 1.8060
Re -1.7676 0.4345 1.2223
Re -0.6671 -2.0762 -0.2266
O 0.0000 0.0000 0.0000
Cs -1.3221 -2.1963 2.8017
```

Calculated values
**Energy**: -6.599 eV/atom
**SG**: Pm-3m (221)
**Uncorrected formation energy**: 2.032 eV per atom
**ΔE to the lowest computed polymorph**: 0.000 eV/f.u.

***

(2)
MnZnSe2N: optimized geometry, PBE.

```
5
Lattice="-0.0774 -1.8870 -4.7563 -1.9890 -4.3716 1.7667 -3.4256 1.3626 -0.4849" Properties=species:S:1:pos:R:3 pbc="T T T"
Se -0.0387 -0.9435 -2.3781
Se -0.9945 -2.1858 0.8834
Zn 0.0000 0.0000 0.0000
N -1.7128 0.6813 -0.2424
Mn -2.7460 -2.4480 -1.7372
```

Calculated values
**Energy**: -4.319 eV/atom
**SG**: P4/mmm (123)
**Uncorrected formation energy**: 0.828 eV per atom
**ΔE to the lowest computed polymorph**: 3.269 eV/f.u.

***

(3)
FeAgP4: optimized geometry, PBE.

```
6
Lattice="-3.3826 -3.3878 -1.7032 -4.2870 -0.8359 2.5967 -4.4529 1.5767 -1.8723" Properties=species:S:1:pos:R:3 pbc="T T T"
Ag -3.0306 -0.6617 -0.2447
P -5.4260 -1.2354 -1.9262
P -5.3421 -2.4553 0.3336
P -5.8833 0.0550 0.2481
P -7.5937 -1.6581 -0.6131
Fe 0.0000 0.0000 0.0000
```

Calculated values
**Energy**: -4.775 eV/atom
**SG**: F-43m (216)

***

(4)
SrH16O10: optimized geometry, PBE.

```
54
Lattice="-3.4133 -0.1269 -5.4509 3.7939 -4.4512 -2.5751 -6.6914 -8.4026 3.9631" Properties=species:S:1:pos:R:3 pbc="T T T"
H -0.4432 -2.9908 -1.7975
H 1.3568 -5.3573 -4.2933
H -1.8243 -8.1627 0.3398
H 0.4516 -1.7113 -1.4167
H -1.1302 -7.6831 -4.1339
H -1.9105 -2.4608 -3.2987
H -1.8416 -6.2698 -3.8139
H -4.1604 -8.5275 -2.8089
H -3.3647 -4.6059 -3.5489
H -4.2961 -11.9424 -0.0608
H -0.8142 -5.9611 -2.0435
H -2.1112 -3.5706 -5.9995
H -5.2129 -8.9616 0.9601
H -3.9957 -5.5285 0.1032
H -2.9612 -8.3234 -0.8429
H -6.8299 -11.2262 -2.4656
H -4.3480 -10.4212 -0.5783
H -1.1341 -3.9571 -4.7837
H 0.4671 -4.4372 -3.3228
H -4.8644 -5.0454 -3.4500
H -6.7313 -8.4499 -0.5653
H -3.5200 -3.4470 -0.2872
H -2.8595 -4.3724 -1.5210
H -4.3359 -7.0524 -0.1094
H -5.3804 -7.0229 -2.2205
H -0.8374 -7.3299 -1.2247
H -7.5701 -7.4902 0.4199
H -1.9116 -0.9149 -3.7978
H -4.2777 -9.3864 2.1799
H -5.9223 -9.9695 -2.0410
H -3.2303 -8.1650 -4.0578
H -6.1265 -6.6755 -3.6371
O -4.4761 -8.0936 -1.3137
O -5.1345 -8.9059 1.9695
O -4.0121 -8.7192 -3.7986
O -0.2040 -6.6953 -1.6654
O -1.8391 -7.0501 -4.4496
O -1.8481 -4.9155 -2.7083
O -5.9205 -6.3348 -2.7330
O -1.2456 -4.0362 -5.7971
O -2.4814 -1.6158 -3.3555
O -0.0565 -2.4778 -1.0141
O -1.9845 -8.4827 -0.5810
O -4.2703 -4.4097 -3.9284
O -7.6560 -8.0133 -0.4276
O -3.7396 -11.2409 -0.5060
O -6.3222 -10.4541 -2.8469
O -0.9806 -3.7983 -3.1815
O -5.3442 -9.1658 -0.7280
O -4.1479 -6.3706 0.6195
O -3.6581 -4.2035 -0.9129
O 1.4040 -4.8479 -3.4355
Sr -1.3324 -10.8267 0.4512
Sr -1.1028 -6.4157 -6.8520
```

Calculated values
**Energy**: -5.031 eV/atom
**SG**: P1 (1)
**ΔE to the lowest computed polymorph**: 0.557 eV/f.u.

***

(5)
TlGeN2: optimized geometry, PBE.

```
8
Lattice="5.2593 0.0000 0.0000 0.0000 5.2593 0.0000 2.6296 2.6296 4.3953" Properties=species:S:1:pos:R:3 pbc="T T T"
N 1.8139 3.9445 1.0988
N 3.4454 1.3148 1.0988
N 6.5741 6.0751 3.2965
N 3.9445 4.4435 3.2965
Tl 0.0000 0.0000 0.0000
Tl 5.2593 2.6296 2.1976
Ge 2.6296 2.6296 0.0000
Ge 2.6296 5.2593 2.1976
```

Calculated values
**Energy**: -5.450 eV/atom
**SG**: I-42d (122)
**Uncorrected formation energy**: 0.458 eV per atom
**ΔE to the lowest computed polymorph**: 0.000 eV/f.u.

***

(6)
CuTcPt2: optimized geometry, PBE.

```
4
Lattice="4.7434 0.0022 0.0000 1.5857 4.4705 0.0000 -3.1646 -2.2364 2.7357" Properties=species:S:1:pos:R:3 pbc="T T T"
Pt 0.0000 0.0000 0.0000
Pt 0.7928 2.2353 1.3679
Tc 3.1646 2.2364 0.0000
Cu 2.3717 0.0011 1.3679
```

Calculated values
**Energy**: -6.647 eV/atom
**SG**: I-4m2 (119)
**ΔE to the lowest computed polymorph**: 0.706 eV/f.u.

***

(7)
K2Pb: optimized geometry, PBE.

```
3
Lattice="-1.2840 6.0120 2.5728 -3.1789 4.4090 -3.8558 -0.1173 -5.9185 3.0610" Properties=species:S:1:pos:R:3 pbc="T T T"
Pb 0.0000 0.0000 0.0000
K -1.5310 3.5750 -0.4402
K -2.9318 6.8459 -0.8429
```

Calculated values
**Energy**: -2.007 eV/atom
**SG**: Immm (71)

***

(8)
NdAgSO5: optimized geometry, PBE.

```
16
Lattice="-3.1271 5.0249 1.5459 -4.4138 -2.2942 -3.5600 1.0643 -4.9821 6.8735" Properties=species:S:1:pos:R:3 pbc="T T T"
O -2.4393 0.6606 6.2631
O -2.9012 -4.9116 3.7815
O -4.1625 -2.8754 4.2713
O -3.6882 -3.4994 1.9554
O -2.3141 0.6240 0.5881
O -2.7884 1.2480 2.9040
O -4.0374 -2.9119 -1.4037
O -4.5493 0.4426 1.4114
O -3.5754 2.6603 1.0779
O -1.9273 -2.6940 3.4479
Nd 0.0000 0.0000 0.0000
Nd 0.5322 -2.4911 3.4368
Ag -3.7393 -1.2165 -0.2210
Ag -2.7373 -1.0348 5.0803
S -3.1746 -3.5223 3.3450
S -3.3020 1.2710 1.5143
```

Calculated values
**Energy**: -6.352 eV/atom
**SG**: C2/c (15)
**Uncorrected formation energy**: -1.784 eV per atom

***

(9)
TcB2Mo4: optimized geometry, PBE.

```
7
Lattice="-2.2396 3.1093 -1.7533 -4.1017 0.3977 0.8805 -0.6992 4.9427 4.5943" Properties=species:S:1:pos:R:3 pbc="T T T"
Mo -3.9993 2.9468 0.2063
Mo -5.3914 6.0410 2.4077
Mo -3.0412 5.5029 3.5152
Mo -1.6491 2.4086 1.3138
B -1.1691 3.6891 2.9715
B -5.8714 4.7605 0.7500
Tc 0.0000 0.0000 0.0000
```

Calculated values
**Energy**: -9.278 eV/atom
**SG**: R-3m (166)

***

(10)
AcHo4Tl4: optimized geometry, PBE.

```
18
Lattice="6.1540 0.0000 0.0000 0.0000 10.0611 0.0000 0.0000 0.0000 10.0611" Properties=species:S:1:pos:R:3 pbc="T T T"
Tl 0.5795 8.6003 7.0385
Tl 3.6565 8.0532 3.5697
Tl 2.4975 6.4914 8.0532
Tl 5.5745 7.0385 1.4609
Tl 2.4975 3.5697 2.0079
Tl 0.5795 1.4609 3.0227
Tl 3.6565 2.0079 6.4914
Tl 5.5745 3.0227 8.6003
Ho 3.7054 1.0788 3.4593
Ho 3.7054 8.9823 6.6018
Ho 2.4486 3.4593 8.9823
Ho 2.4486 6.6018 1.0788
Ho 0.6284 1.5712 6.1094
Ho 5.5255 3.9518 1.5712
Ho 0.6284 8.4899 3.9518
Ho 5.5255 6.1094 8.4899
Ac 0.0000 0.0000 0.0000
Ac 3.0770 5.0306 5.0306
```

Calculated values
**Energy**: -3.632 eV/atom
**SG**: P4_2/n (86)

***

(11)
CaIn2Ag3: optimized geometry, PBE.

```
12
Lattice="4.8380 0.0000 0.0000 -2.4190 4.1899 0.0000 0.0000 0.0000 13.1579" Properties=species:S:1:pos:R:3 pbc="T T T"
In 2.4190 1.3966 1.2564
In 2.4190 1.3966 5.3225
In 0.0000 2.7932 7.8354
In 0.0000 2.7932 11.9015
Ag 2.4190 1.3966 8.3564
Ag 0.0000 2.7932 4.8015
Ag 0.0000 0.0000 6.5790
Ag 2.4190 1.3966 11.3805
Ag 0.0000 2.7932 1.7774
Ag 0.0000 0.0000 0.0000
Ca 0.0000 0.0000 9.8684
Ca 0.0000 0.0000 3.2895
```

Calculated values
**Energy**: -2.890 eV/atom
**SG**: P6_3/mmc (194)

***

(12)
Tb6ZnCu: optimized geometry, PBE.

```
8
Lattice="4.8036 0.0002 1.4465 -0.4359 4.7836 1.4469 -0.1927 -0.2123 9.3405" Properties=species:S:1:pos:R:3 pbc="T T T"
Zn 2.1838 2.3919 1.4467
Tb 1.4806 4.2524 3.7802
Tb 3.1724 3.4743 6.8623
Tb 0.0744 2.7107 8.4538
Tb 4.1006 1.8608 3.7802
Tb 2.6944 0.3190 8.4537
Tb 1.0026 1.0972 5.3716
Cu 0.0000 0.0000 0.0000
```

Calculated values
**Energy**: -4.265 eV/atom
**SG**: I4/mmm (139)

***

(13)
AcEr2Tm2: optimized geometry, PBE.

```
10
Lattice="3.6128 0.0000 0.0000 -1.8064 8.3290 0.0000 0.0000 0.0000 11.4152" Properties=species:S:1:pos:R:3 pbc="T T T"
Er 0.0000 4.8855 0.8172
Er 0.0000 1.4441 4.5176
Er 1.8064 3.4435 6.5248
Er 1.8064 6.8849 10.2252
Tm 0.0000 0.9869 7.9810
Tm 1.8064 4.2330 3.4821
Tm 0.0000 4.0961 9.1897
Tm 1.8064 7.3421 2.2734
Ac 1.8064 1.6554 0.1572
Ac 0.0000 6.6736 5.8648
```

Calculated values
**Energy**: -4.276 eV/atom
**SG**: Cmc2_1 (36)